A geometry-optimized Cs3BeS structure. Source: Alexandria, functional PBE-GGA.

Lattice parameters (Å, degrees): 6.7531 6.7531 6.7531 90.00 90.00 90.00
Closest atoms and distances in Å follow each position.
Atoms (fractional coordinates):
Cs 0.0000 0.0000 0.5000  2 S 3.38
Cs 0.0000 0.5000 0.0000  2 S 3.38
Cs 0.5000 0.0000 0.0000  2 S 3.38
Be 0.5000 0.5000 0.5000  12 Cs 4.78
S 0.0000 0.0000 0.0000  6 Cs 3.38

Spin magnetization ... 0.9 μB/f.u.
Raw formation energy ... 0.05 eV/atom